No. 1
Below is a geometry-optimized LiNiMo structure, with properties calculated at the PBE-GGA level.

The space-group type is I4/mmm. As for the mass density: 5.4 g/cm³. The value obtained for the formation energy is 195 meV/atom. Its distance to the lowest polymorph of the same formula is 0.000 eV per atom. The electronic total energy is -0.2198 hartree per atom.

Cell and atoms, written as CIF:
```
data_LiNiMo
_chemical_formula_sum 'Li2 Ni2 Mo2'
_cell_length_a 3.091
_cell_length_b 3.091
_cell_length_c 10.567
_cell_angle_alpha 98.41
_cell_angle_beta 98.41
_cell_angle_gamma 90.00
_symmetry_space_group_name_H-M 'P 1'
_symmetry_Int_Tables_number 1
loop_
_symmetry_equiv_pos_as_xyz
'x,y,z'
loop_
_atom_site_label
_atom_site_type_symbol
_atom_site_fract_x
_atom_site_fract_y
_atom_site_fract_z
Mo1 Mo 0.286 0.286 0.573
Mo2 Mo 0.714 0.714 0.427
Ni1 Ni 0.148 0.148 0.296
Ni2 Ni 0.852 0.852 0.704
Li1 Li 0.572 0.572 0.144
Li2 Li 0.428 0.428 0.856
```


No. 2
Below is a geometry-optimized LiNiMo2 structure, with properties calculated at the PBE-GGA level.

The space-group type is Fm-3m. As for the mass density: 8.0 g/cm³. The value obtained for the formation energy is 508 meV/atom. Its distance to the lowest polymorph of the same formula is 0.354 eV per atom. The electronic total energy is -0.2511 hartree per atom.

Cell and atoms, written as CIF:
```
data_LiNiMo2
_chemical_formula_sum 'Li1 Ni1 Mo2'
_cell_length_a 4.234
_cell_length_b 4.234
_cell_length_c 4.234
_cell_angle_alpha 60.00
_cell_angle_beta 60.00
_cell_angle_gamma 60.00
_symmetry_space_group_name_H-M 'P 1'
_symmetry_Int_Tables_number 1
loop_
_symmetry_equiv_pos_as_xyz
'x,y,z'
loop_
_atom_site_label
_atom_site_type_symbol
_atom_site_fract_x
_atom_site_fract_y
_atom_site_fract_z
Ni1 Ni 0.500 0.500 0.500
Mo1 Mo 0.250 0.250 0.250
Mo2 Mo 0.750 0.750 0.750
Li1 Li 0.000 0.000 0.000
```


No. 3
Below is a geometry-optimized LiNiMo2 structure, with properties calculated at the PBE-GGA level.

The space-group type is P4mm. As for the mass density: 7.5 g/cm³. The value obtained for the formation energy is 189 meV/atom. Its distance to the lowest polymorph of the same formula is 0.035 eV per atom. The electronic total energy is -0.2628 hartree per atom.

Cell and atoms, written as CIF:
```
data_LiNiMo2
_chemical_formula_sum 'Li1 Ni1 Mo2'
_cell_length_a 2.649
_cell_length_b 2.649
_cell_length_c 8.102
_cell_angle_alpha 90.00
_cell_angle_beta 90.00
_cell_angle_gamma 90.00
_symmetry_space_group_name_H-M 'P 1'
_symmetry_Int_Tables_number 1
loop_
_symmetry_equiv_pos_as_xyz
'x,y,z'
loop_
_atom_site_label
_atom_site_type_symbol
_atom_site_fract_x
_atom_site_fract_y
_atom_site_fract_z
Li1 Li 0.500 0.500 0.719
Mo1 Mo 0.000 0.000 0.998
Mo2 Mo 0.500 0.500 0.283
Ni1 Ni 0.000 0.000 0.500
```


Q: Number 1 is which compound?
A: LiNiMo


Q: Which of these has the highest distance to the lowest polymorph of the same formula?
A: number 2


Q: Which of these has the highest electronic total energy?
A: LiNiMo


What did the third record say?
Below is a geometry-optimized LiNiMo2 structure, with properties calculated at the PBE-GGA level.

The space-group type is P4mm. As for the mass density: 7.5 g/cm³. The value obtained for the formation energy is 189 meV/atom. Its distance to the lowest polymorph of the same formula is 0.035 eV per atom. The electronic total energy is -0.2628 hartree per atom.

Cell and atoms, written as CIF:
```
data_LiNiMo2
_chemical_formula_sum 'Li1 Ni1 Mo2'
_cell_length_a 2.649
_cell_length_b 2.649
_cell_length_c 8.102
_cell_angle_alpha 90.00
_cell_angle_beta 90.00
_cell_angle_gamma 90.00
_symmetry_space_group_name_H-M 'P 1'
_symmetry_Int_Tables_number 1
loop_
_symmetry_equiv_pos_as_xyz
'x,y,z'
loop_
_atom_site_label
_atom_site_type_symbol
_atom_site_fract_x
_atom_site_fract_y
_atom_site_fract_z
Li1 Li 0.500 0.500 0.719
Mo1 Mo 0.000 0.000 0.998
Mo2 Mo 0.500 0.500 0.283
Ni1 Ni 0.000 0.000 0.500
```